[1]
This record from Alexandria via LeMat-Bulk describes Pr2ErTmBi5 after structural relaxation. The functional is GGA-PBE.

abc: 5.3983 5.3983 11.8939
angles: 90.00 90.00 90.00
Fractional coordinates of all 9 atoms:
Tm  0.0000  0.0000  0.5000
Bi  0.0000  0.0000  0.2459
Bi  0.5000  0.0000  0.5000
Bi  0.5000  0.5000  0.0000
Bi  0.0000  0.5000  0.5000
Bi  0.0000  0.0000  0.7541
Pr  0.5000  0.5000  0.7240
Pr  0.5000  0.5000  0.2760
Er  0.0000  0.0000  0.0000

Summary:
energy of formation: -159 meV per atom
DOS(E_F): 6.1 states/eV per cell
uncorrected energy: -39.4 eV/f.u.
calculated density: 7967 kg/m³

=====

[2]
This record from Alexandria via LeMat-Bulk describes CoCuNi2 after structural relaxation. The functional is GGA-PBE.

abc: 4.3692 4.3692 4.3692
angles: 132.45 132.45 69.53
Fractional coordinates of all 4 atoms:
Co  0.5000  0.5000  0.0000
Ni  0.0000  0.0000  0.0000
Ni  0.2500  0.7500  0.5000
Cu  0.7500  0.2500  0.5000

Summary:
energy of formation: 71 meV per atom
DOS(E_F): 4.3 states/eV per cell
uncorrected energy: -22.5 eV/f.u.
calculated density: 8940 kg/m³

=====

[3]
This record from Alexandria via LeMat-Bulk describes ThSn4Pb after structural relaxation. The functional is GGA-PBE.

abc: 6.2068 6.2068 6.2068
angles: 60.00 60.00 60.00
Fractional coordinates of all 6 atoms:
Sn  0.6245  0.6245  0.6245
Sn  0.1264  0.6245  0.6245
Sn  0.6245  0.1264  0.6245
Sn  0.6245  0.6245  0.1264
Pb  0.2500  0.2500  0.2500
Th  0.0000  0.0000  0.0000

Summary:
energy of formation: -69 meV per atom
DOS(E_F): 6.4 states/eV per cell
uncorrected energy: -27.6 eV/f.u.
calculated density: 8977 kg/m³

=====

[4]
This record from Alexandria via LeMat-Bulk describes ZnRu2 after structural relaxation. The functional is GGA-PBE.

abc: 5.8291 5.8291 5.8291
angles: 90.00 90.00 90.00
Fractional coordinates of all 12 atoms:
Zn  0.0000  0.0000  0.0000
Zn  0.5000  0.0000  0.5000
Zn  0.5000  0.5000  0.0000
Zn  0.0000  0.5000  0.5000
Ru  0.3867  0.3867  0.3867
Ru  0.6133  0.6133  0.6133
Ru  0.8867  0.1133  0.6133
Ru  0.3867  0.1133  0.8867
Ru  0.1133  0.6133  0.8867
Ru  0.6133  0.8867  0.1133
Ru  0.1133  0.8867  0.3867
Ru  0.8867  0.3867  0.1133

Summary:
energy of formation: 1041 meV per atom
DOS(E_F): 19.1 states/eV per cell
uncorrected energy: -16.7 eV/f.u.
calculated density: 8973 kg/m³

=====

[5]
This record from Alexandria via LeMat-Bulk describes Hf8AlIn6 after structural relaxation. The functional is GGA-PBE.

abc: 8.3123 8.3123 7.6785
angles: 57.23 57.23 60.00
Fractional coordinates of all 15 atoms:
Hf  0.1114  0.4521  0.6600
Hf  0.8886  0.5479  0.3400
Hf  0.2235  0.8886  0.3400
Hf  0.4521  0.7765  0.6600
Hf  0.3303  0.3303  0.0090
Hf  0.6697  0.6697  0.9910
Hf  0.5479  0.2235  0.3400
Hf  0.7765  0.1114  0.6600
Al  0.0000  0.0000  0.0000
In  0.2680  0.6170  0.1769
In  0.9382  0.2680  0.1769
In  0.3830  0.0618  0.8231
In  0.7320  0.3830  0.8231
In  0.0618  0.7320  0.8231
In  0.6170  0.9382  0.1769

Summary:
energy of formation: 268 meV per atom
DOS(E_F): 11.8 states/eV per cell
uncorrected energy: -95.8 eV/f.u.
calculated density: 9925 kg/m³

=====

[6]
This record from Alexandria via LeMat-Bulk describes Co2Pt8W after structural relaxation. The functional is GGA-PBE.

abc: 3.9160 7.2889 7.2433
angles: 120.21 105.68 90.00
Fractional coordinates of all 11 atoms:
Co  0.1766  0.6766  0.3531
Co  0.8234  0.3234  0.6469
Pt  0.0000  0.7168  0.0000
Pt  0.3383  0.1061  0.6767
Pt  0.8428  0.8428  0.6856
Pt  0.3383  0.5706  0.6767
Pt  0.6617  0.4294  0.3233
Pt  0.1572  0.1572  0.3144
Pt  0.6617  0.8939  0.3233
Pt  0.0000  0.2832  0.0000
W  0.5000  0.0000  0.0000

Summary:
energy of formation: -96 meV per atom
DOS(E_F): 14.4 states/eV per cell
uncorrected energy: -76.5 eV/f.u.
calculated density: 18223 kg/m³

=====

Q: Which value of uncorrected energy does entry 6 give?
A: -76.5 eV/f.u.

=====

Q: The lowest DOS(E_F) belongs to which entry?
A: CoCuNi2

=====

Q: uncorrected energy of number 5 (Hf8AlIn6)?
A: -95.8 eV/f.u.

=====

Q: Among the records above, which one has the highest energy of formation?
A: ZnRu2